Run w
First-principles (PBE) data for a relaxed LiNbP2O crystal, as listed in Alexandria.

The structure in POSCAR format:
```
LiNbP2O
1.0
4.512 0.000 0.000
0.000 4.512 0.000
0.000 0.000 3.298
P Nb O Li
2 1 1 1
Direct
0.500 0.000 0.000
0.000 0.500 0.000
0.500 0.500 0.500
0.000 0.000 0.500
0.000 0.000 0.000
```


Run x
First-principles (PBE) data for a relaxed LiNbP2O crystal, as listed in Alexandria.

The structure in POSCAR format:
```
LiNbP2O
1.0
-1.284 0.891 4.704
4.691 -0.740 1.421
0.762 3.832 -0.518
Li P Nb O
1 2 1 1
Direct
0.500 0.500 0.500
0.500 0.000 0.000
0.000 0.500 0.000
0.000 0.000 0.000
0.000 0.000 0.500
```


Which structure wins on stability? run x wins.


Run w
First-principles (PBE) data for a relaxed LiNb2P3O12 crystal, as listed in Alexandria.

The structure in POSCAR format:
```
LiNb2P3O12
1.0
8.789 0.017 -0.012
-4.267 7.652 -0.026
-4.369 -2.612 7.624
O Nb P Li
24 4 6 2
Direct
0.138 0.905 0.252
0.134 0.029 0.937
0.877 0.855 0.611
0.890 0.264 0.438
0.732 0.204 0.106
0.494 0.912 0.772
0.274 0.573 0.727
0.506 0.088 0.228
0.285 0.708 0.220
0.519 0.447 0.695
0.866 0.971 0.063
0.093 0.361 0.088
0.907 0.639 0.912
0.758 0.480 0.595
0.123 0.145 0.389
0.110 0.736 0.562
0.862 0.095 0.748
0.726 0.427 0.273
0.167 0.195 0.722
0.715 0.292 0.780
0.481 0.553 0.305
0.833 0.805 0.278
0.242 0.520 0.405
0.268 0.796 0.894
0.788 0.643 0.432
0.793 0.136 0.934
0.212 0.357 0.568
0.207 0.864 0.066
0.285 0.755 0.742
0.013 0.044 0.755
0.278 0.533 0.253
0.722 0.467 0.747
0.987 0.956 0.245
0.715 0.245 0.258
0.201 0.746 0.393
0.799 0.254 0.607
```


Run x
First-principles (PBE) data for a relaxed LiNb2P3O12 crystal, as listed in Alexandria.

The structure in POSCAR format:
```
LiNb2P3O12
1.0
-2.829 3.342 7.720
5.789 -5.252 4.395
8.678 8.902 -0.794
O P Nb Li
48 12 8 4
Direct
0.868 0.152 0.430
0.827 0.247 0.823
0.148 0.667 0.419
0.154 0.938 0.966
0.179 0.986 0.769
0.352 0.167 0.081
0.446 0.859 0.062
0.428 0.598 0.343
0.654 0.562 0.466
0.140 0.720 0.835
0.061 0.404 0.853
0.346 0.438 0.534
0.673 0.022 0.727
0.360 0.220 0.665
0.673 0.747 0.677
0.173 0.753 0.177
0.860 0.280 0.165
0.329 0.052 0.466
0.640 0.780 0.335
0.946 0.641 0.562
0.067 0.156 0.579
0.846 0.062 0.034
0.072 0.098 0.157
0.433 0.656 0.921
0.821 0.014 0.231
0.321 0.486 0.731
0.567 0.344 0.079
0.554 0.141 0.938
0.928 0.902 0.843
0.648 0.833 0.919
0.933 0.844 0.421
0.173 0.478 0.227
0.327 0.978 0.273
0.827 0.522 0.773
0.671 0.948 0.534
0.679 0.514 0.269
0.054 0.359 0.438
0.327 0.253 0.323
0.572 0.402 0.657
0.171 0.552 0.034
0.561 0.096 0.353
0.368 0.348 0.930
0.632 0.652 0.070
0.939 0.596 0.147
0.439 0.904 0.647
0.132 0.848 0.570
0.829 0.448 0.966
0.852 0.333 0.581
0.038 0.750 0.494
0.102 0.886 0.853
0.112 0.596 0.145
0.888 0.404 0.855
0.388 0.096 0.355
0.898 0.114 0.147
0.962 0.250 0.506
0.602 0.614 0.353
0.398 0.386 0.647
0.612 0.904 0.645
0.462 0.250 0.006
0.538 0.750 0.994
0.754 0.543 0.612
0.246 0.457 0.388
0.249 0.030 0.619
0.749 0.470 0.119
0.251 0.530 0.881
0.751 0.970 0.381
0.746 0.043 0.888
0.254 0.957 0.112
0.714 0.229 0.682
0.214 0.271 0.182
0.786 0.729 0.818
0.286 0.771 0.318
```


Which structure wins on stability? run x wins.


Run w
First-principles (PBE) data for a relaxed LiNbPO5 crystal, as listed in Alexandria.

The structure in POSCAR format:
```
LiNbPO5
1.0
-4.214 6.259 -0.485
-2.864 -6.474 -2.559
-3.080 -1.510 7.266
O Nb Li P
20 4 4 4
Direct
0.251 0.255 0.827
0.749 0.245 0.327
0.071 0.645 0.239
0.220 0.391 0.501
0.263 0.577 0.005
0.251 0.755 0.673
0.264 0.077 0.495
0.071 0.145 0.262
0.433 0.852 0.227
0.782 0.110 0.002
0.929 0.355 0.761
0.929 0.855 0.738
0.567 0.148 0.773
0.780 0.609 0.499
0.749 0.745 0.173
0.568 0.648 0.728
0.432 0.352 0.272
0.736 0.923 0.505
0.737 0.423 0.995
0.218 0.890 0.998
0.249 0.003 0.760
0.249 0.503 0.740
0.751 0.497 0.260
0.751 0.997 0.240
0.249 0.809 0.432
0.751 0.191 0.568
0.752 0.692 0.932
0.248 0.308 0.068
0.247 0.240 0.389
0.753 0.760 0.611
0.753 0.260 0.889
0.247 0.740 0.111
```


Run x
First-principles (PBE) data for a relaxed LiNbPO5 crystal, as listed in Alexandria.

The structure in POSCAR format:
```
LiNbPO5
1.0
-0.127 -0.381 7.781
4.120 -3.155 5.813
8.383 5.719 10.024
P Nb Li O
4 4 4 20
Direct
0.771 0.884 0.543
0.116 0.229 0.457
0.393 0.263 0.042
0.737 0.607 0.958
0.262 0.747 0.745
0.253 0.738 0.255
0.070 0.930 0.000
0.445 0.555 0.500
0.701 0.862 0.272
0.138 0.299 0.728
0.844 0.338 0.230
0.662 0.156 0.770
0.028 0.113 0.614
0.331 0.976 0.409
0.184 0.524 0.081
0.024 0.669 0.591
0.040 0.862 0.171
0.857 0.441 0.415
0.254 0.374 0.391
0.626 0.746 0.609
0.495 0.604 0.330
0.936 0.347 0.918
0.476 0.353 0.889
0.647 0.524 0.111
0.887 0.972 0.386
0.244 0.116 0.126
0.884 0.756 0.874
0.653 0.064 0.082
0.396 0.505 0.670
0.476 0.816 0.919
0.138 0.960 0.829
0.559 0.143 0.585
```


Which structure wins on stability? run w wins.


Run w
First-principles (PBE) data for a relaxed LiNbSn3P6O24 crystal, as listed in Alexandria.

The structure in POSCAR format:
```
LiNbSn3P6O24
1.0
8.634 0.006 -0.003
-4.296 7.504 -0.042
-4.307 -2.512 7.549
P Sn O Li Nb
6 3 24 1 1
Direct
0.490 0.954 0.753
0.502 0.038 0.258
0.216 0.248 0.755
0.209 0.458 0.254
0.787 0.746 0.249
0.786 0.522 0.751
0.296 0.640 0.941
0.290 0.139 0.439
0.713 0.355 0.079
0.149 0.384 0.760
0.360 0.760 0.768
0.847 0.605 0.252
0.402 0.890 0.091
0.652 0.952 0.720
0.329 0.971 0.592
0.794 0.506 0.921
0.403 0.286 0.936
0.623 0.335 0.594
0.003 0.393 0.243
0.737 0.747 0.393
0.647 0.240 0.261
0.320 0.016 0.270
0.187 0.484 0.078
0.663 0.027 0.431
0.739 0.672 0.698
0.269 0.317 0.295
0.265 0.267 0.611
0.625 0.115 0.925
0.967 0.947 0.285
0.998 0.587 0.768
0.017 0.047 0.703
0.393 0.652 0.406
0.588 0.686 0.065
0.872 0.355 0.549
0.704 0.847 0.568
```


Run x
First-principles (PBE) data for a relaxed LiNbSn3P6O24 crystal, as listed in Alexandria.

The structure in POSCAR format:
```
LiNbSn3P6O24
1.0
9.085 0.137 0.096
4.886 7.661 0.096
4.886 2.727 7.160
P O Sn Li Nb
6 24 3 1 1
Direct
0.033 0.455 0.755
0.251 0.965 0.537
0.965 0.537 0.251
0.537 0.251 0.965
0.755 0.033 0.455
0.455 0.755 0.033
0.557 0.186 0.477
0.849 0.472 0.769
0.205 0.987 0.386
0.472 0.769 0.849
0.098 0.898 0.731
0.231 0.151 0.525
0.477 0.557 0.186
0.810 0.992 0.613
0.258 0.900 0.099
0.099 0.258 0.900
0.731 0.098 0.898
0.900 0.099 0.258
0.812 0.526 0.446
0.525 0.231 0.151
0.987 0.386 0.205
0.386 0.205 0.987
0.446 0.812 0.526
0.186 0.477 0.557
0.151 0.525 0.231
0.613 0.810 0.992
0.992 0.613 0.810
0.526 0.446 0.812
0.898 0.731 0.098
0.769 0.849 0.472
0.147 0.147 0.147
0.355 0.355 0.355
0.647 0.647 0.647
0.021 0.021 0.021
0.856 0.856 0.856
```


Which structure wins on stability? run w wins.


Run w
First-principles (PBE) data for a relaxed Rb2LiNb2Te2O12 crystal, as listed in Alexandria.

The structure in POSCAR format:
```
Rb2LiNb2Te2O12
1.0
3.702 6.409 0.002
-3.702 6.409 0.002
0.000 4.302 6.206
O Li Nb Rb Te
12 1 2 2 2
Direct
0.567 0.180 0.690
0.439 0.439 0.308
0.433 0.820 0.310
0.422 0.827 0.932
0.180 0.567 0.690
0.825 0.825 0.924
0.175 0.175 0.076
0.820 0.433 0.310
0.173 0.578 0.068
0.827 0.422 0.932
0.561 0.561 0.692
0.578 0.173 0.068
0.000 0.000 0.000
0.500 0.500 0.000
0.500 0.500 0.500
0.168 0.168 0.499
0.832 0.832 0.501
0.000 0.500 0.000
0.500 0.000 0.000
```


Run x
First-principles (PBE) data for a relaxed Rb2LiNb2Te2O12 crystal, as listed in Alexandria.

The structure in POSCAR format:
```
Rb2LiNb2Te2O12
1.0
-4.417 0.133 6.011
2.944 -1.073 6.786
0.571 5.777 4.773
O Li Rb Te Nb
12 1 2 2 2
Direct
0.939 0.815 0.918
0.687 0.186 0.061
0.696 0.566 0.667
0.314 0.438 0.925
0.696 0.558 0.062
0.066 0.183 0.676
0.326 0.823 0.922
0.961 0.812 0.305
0.066 0.185 0.075
0.069 0.559 0.689
0.956 0.431 0.296
0.345 0.423 0.314
0.665 0.274 0.280
0.312 0.882 0.418
0.577 0.080 0.775
0.002 0.003 0.991
0.003 0.501 0.993
0.047 0.491 0.473
0.514 0.522 0.944
```


Which structure wins on stability? run x wins.


Run w
First-principles (PBE) data for a relaxed Rb2LiNb2Te2O12 crystal, as listed in Alexandria.

The structure in POSCAR format:
```
Rb2LiNb2Te2O12
1.0
0.989 -5.288 5.101
6.745 -2.873 1.101
3.722 1.603 6.322
O Rb Te Li Nb
12 2 2 1 2
Direct
0.936 0.308 0.316
0.930 0.930 0.325
0.682 0.682 0.073
0.318 0.318 0.927
0.064 0.692 0.684
0.308 0.936 0.316
0.074 0.673 0.079
0.926 0.327 0.921
0.692 0.064 0.684
0.070 0.070 0.675
0.327 0.926 0.921
0.673 0.074 0.079
0.664 0.664 0.499
0.336 0.336 0.501
0.000 0.000 0.500
0.000 0.000 0.000
0.500 0.500 0.000
0.000 0.500 0.000
0.500 0.000 0.000
```


Run x
First-principles (PBE) data for a relaxed Rb2LiNb2Te2O12 crystal, as listed in Alexandria.

The structure in POSCAR format:
```
Rb2LiNb2Te2O12
1.0
7.468 0.014 0.089
3.726 6.519 0.035
3.563 2.257 6.214
O Rb Nb Te Li
12 2 2 2 1
Direct
0.042 0.179 0.073
0.656 0.561 0.063
0.906 0.808 0.929
0.304 0.807 0.937
0.917 0.432 0.303
0.664 0.553 0.668
0.300 0.430 0.308
0.934 0.809 0.312
0.665 0.172 0.050
0.030 0.560 0.693
0.279 0.433 0.930
0.041 0.174 0.677
0.688 0.114 0.599
0.408 0.937 0.420
0.494 0.482 0.958
0.004 0.486 0.486
0.965 0.496 0.001
0.986 0.989 0.994
0.342 0.707 0.214
```


Which structure wins on stability? run x wins.